No. 1
Computed, not measured: an optimized crystal structure of Cs2RbAg2 at the PBE-GGA level of DFT.

extended XYZ file:
```
5
Lattice="-2.937 2.937 7.748 2.937 -2.937 7.748 2.937 2.937 -7.748" Properties=species:S:1:pos:R:3 pbc="T T T"
Cs 2.937 0.000 3.874
Cs 0.000 2.937 3.874
Rb 0.000 0.000 0.000
Ag 0.000 0.000 6.336
Ag 0.000 0.000 9.160
```

Computed properties:
Total DFT energy (no corrections) = -1.5402 eV/atom
Offset from the most stable computed form = 96 meV/atom
DOS(E_F) = 4.2 states/eV/f.u.
ΔH_f (0 K) = 65 kJ/mol of formula units
Space group = I4/mmm, No. 139

No. 2
Computed, not measured: an optimized crystal structure of CsRb2Ag2 at the PBE-GGA level of DFT.

extended XYZ file:
```
5
Lattice="-3.294 3.294 6.453 3.294 -3.294 6.453 3.294 3.294 -6.453" Properties=species:S:1:pos:R:3 pbc="T T T"
Cs 0.000 0.000 0.000
Rb 0.000 0.000 4.401
Rb 0.000 0.000 8.505
Ag 3.294 0.000 3.226
Ag 0.000 3.294 3.226
```

Computed properties:
Total DFT energy (no corrections) = -1.5613 eV/atom
Offset from the most stable computed form = 78 meV/atom
DOS(E_F) = 2.3 states/eV/f.u.
ΔH_f (0 K) = 66 kJ/mol of formula units
Space group = I4/mmm, No. 139

No. 3
Computed, not measured: an optimized crystal structure of CsRb2Ag2 at the PBE-GGA level of DFT.

extended XYZ file:
```
10
Lattice="10.477 0.000 0.000 0.000 10.477 0.000 0.000 0.000 4.266" Properties=species:S:1:pos:R:3 pbc="T T T"
Cs 0.000 0.000 0.000
Cs 5.238 5.238 0.000
Rb 1.360 3.878 0.000
Rb 3.878 9.117 0.000
Rb 6.598 1.360 0.000
Rb 9.117 6.598 0.000
Ag 1.760 6.998 2.133
Ag 3.479 1.760 2.133
Ag 6.998 8.717 2.133
Ag 8.717 3.479 2.133
```

Computed properties:
Total DFT energy (no corrections) = -1.6018 eV/atom
Offset from the most stable computed form = 37 meV/atom
DOS(E_F) = 2.0 states/eV/f.u.
ΔH_f (0 K) = 47 kJ/mol of formula units
Space group = P4/mbm, No. 127

No. 4
Computed, not measured: an optimized crystal structure of Cs6Rb12Ag at the PBE-GGA level of DFT.

extended XYZ file:
```
19
Lattice="7.771 4.486 8.430 -7.771 4.486 8.430 0.000 -8.973 8.430" Properties=species:S:1:pos:R:3 pbc="T T T"
Cs 0.000 -3.050 10.470
Cs -2.641 1.525 10.470
Cs -2.641 -1.525 14.819
Cs 2.641 1.525 10.470
Cs 2.641 -1.525 14.819
Cs 0.000 3.050 14.819
Rb 0.000 -6.020 6.253
Rb -5.213 3.010 6.253
Rb -2.536 -1.464 6.302
Rb -5.213 -3.010 19.036
Rb 2.535 -1.464 6.302
Rb 0.000 2.928 6.302
Rb 0.000 -2.928 18.988
Rb -2.536 1.464 18.988
Rb 5.213 3.010 6.253
Rb 2.535 1.464 18.988
Rb 5.213 -3.010 19.036
Rb 0.000 6.020 19.036
Ag 0.000 0.000 12.645
```

Computed properties:
Total DFT energy (no corrections) = -1.0204 eV/atom
DOS(E_F) = 18.8 states/eV/f.u.
ΔH_f (0 K) = 19 kJ/mol of formula units
Space group = R-3m, No. 166

No. 5
Computed, not measured: an optimized crystal structure of Cs8Rb6Ag at the PBE-GGA level of DFT.

extended XYZ file:
```
15
Lattice="13.956 0.000 0.000 -6.978 12.087 0.000 0.000 0.000 8.598" Properties=species:S:1:pos:R:3 pbc="T T T"
Cs -1.079 2.907 2.112
Cs -3.921 11.568 2.112
Cs 1.978 2.388 6.486
Cs 0.000 8.058 2.163
Cs 6.978 4.029 6.435
Cs 5.000 9.699 2.112
Cs 10.899 0.519 6.486
Cs 8.057 9.180 6.486
Rb -2.022 5.840 6.447
Rb -0.910 10.918 6.447
Rb 4.046 4.671 2.151
Rb 2.932 7.415 6.447
Rb 7.888 1.169 2.151
Rb 9.000 6.247 2.151
Ag 0.000 0.000 0.000
```

Computed properties:
Total DFT energy (no corrections) = -1.0226 eV/atom
DOS(E_F) = 14.9 states/eV/f.u.
ΔH_f (0 K) = 14 kJ/mol of formula units
Space group = P-3, No. 147

No. 6
Computed, not measured: an optimized crystal structure of Cs3RbAg at the PBE-GGA level of DFT.

extended XYZ file:
```
20
Lattice="10.044 0.000 0.000 0.000 9.470 0.000 -1.311 0.000 17.290" Properties=species:S:1:pos:R:3 pbc="T T T"
Cs 0.413 2.081 8.043
Cs -0.242 7.389 16.688
Cs 2.354 0.602 3.841
Cs 1.699 8.867 12.486
Cs 2.493 2.479 16.575
Cs 3.148 6.991 7.930
Cs 5.585 2.479 9.360
Cs 6.240 6.991 0.715
Cs 7.035 0.602 4.804
Cs 6.379 8.867 13.449
Cs 8.976 2.081 0.602
Cs 8.320 7.389 9.247
Rb 1.221 4.054 12.362
Rb 1.877 5.416 3.717
Rb 6.856 4.054 13.573
Rb 7.512 5.416 4.928
Ag -0.677 1.465 14.393
Ag -0.021 8.004 5.748
Ag 8.754 1.465 11.542
Ag 9.410 8.004 2.897
```

Computed properties:
Total DFT energy (no corrections) = -1.2466 eV/atom
Offset from the most stable computed form = 5 meV/atom
DOS(E_F) = 4.1 states/eV/f.u.
ΔH_f (0 K) = 14 kJ/mol of formula units
Space group = P2/c, No. 13

No. 7
Computed, not measured: an optimized crystal structure of Cs3Rb4Ag2 at the PBE-GGA level of DFT.

extended XYZ file:
```
18
Lattice="9.734 -7.104 0.000 9.734 7.104 0.000 -2.807 0.000 9.474" Properties=species:S:1:pos:R:3 pbc="T T T"
Cs 7.629 5.981 7.106
Cs 4.947 1.700 7.493
Cs 6.351 -1.700 2.756
Cs 10.310 1.700 6.719
Cs 11.714 -1.700 1.982
Cs 9.032 -5.981 2.369
Rb 3.565 1.032 0.623
Rb 6.575 3.348 3.273
Rb 2.161 -1.032 5.361
Rb 11.489 3.348 1.464
Rb 5.172 -3.348 8.010
Rb 14.500 1.032 4.114
Rb 10.086 -3.348 6.201
Rb 13.096 -1.032 8.851
Ag 3.026 2.350 4.102
Ag 1.623 -2.350 8.839
Ag 15.038 2.350 0.635
Ag 13.635 -2.350 5.373
```

Computed properties:
Total DFT energy (no corrections) = -1.3112 eV/atom
DOS(E_F) = 6.6 states/eV/f.u.
ΔH_f (0 K) = 32 kJ/mol of formula units
Space group = C2/c, No. 15

No. 8
Computed, not measured: an optimized crystal structure of Cs12Rb5Ag3 at the PBE-GGA level of DFT.

extended XYZ file:
```
80
Lattice="-12.833 12.833 12.833 12.833 -12.833 12.833 12.833 12.833 -12.833" Properties=species:S:1:pos:R:3 pbc="T T T"
Cs 12.399 -2.721 3.752
Cs 19.684 -2.664 3.695
Cs 3.752 -0.435 2.721
Cs 15.498 9.138 -6.851
Cs 16.585 0.435 2.721
Cs 15.498 -3.695 6.851
Cs 2.721 3.752 -0.435
Cs 16.529 5.982 -2.664
Cs 9.138 6.851 -2.664
Cs 10.112 3.752 0.435
Cs 12.399 10.112 -3.752
Cs 6.851 2.664 3.695
Cs -0.435 2.721 3.752
Cs 6.851 -2.664 9.138
Cs 10.112 -3.752 12.399
Cs 9.138 -6.851 15.498
Cs 3.695 6.851 2.664
Cs 15.554 9.081 0.435
Cs 3.752 12.399 -2.721
Cs 15.498 3.695 5.982
Cs 2.664 3.695 6.851
Cs 3.752 0.435 10.112
Cs 6.851 15.498 -3.695
Cs 12.399 2.721 9.081
Cs 0.435 10.112 3.752
Cs 5.982 -2.664 16.529
Cs 9.081 12.399 2.721
Cs 10.169 9.138 5.982
Cs -2.664 9.138 6.851
Cs 9.081 0.435 15.554
Cs -2.721 3.752 12.399
Cs 9.138 5.982 10.169
Cs 3.695 19.684 -2.664
Cs 2.721 16.585 0.435
Cs 5.982 15.498 3.695
Cs 13.268 10.112 9.081
Cs 5.982 10.169 9.138
Cs 0.435 2.721 16.585
Cs 2.721 9.081 12.399
Cs 3.695 5.982 15.498
Cs -3.695 6.851 15.498
Cs 10.112 9.081 13.268
Cs -2.664 16.529 5.982
Cs -3.752 12.399 10.112
Cs -2.664 3.695 19.684
Cs 9.081 13.268 10.112
Cs -6.851 15.498 9.138
Cs 0.435 15.554 9.081
Rb 0.000 0.000 0.000
Rb 6.417 6.417 -6.417
Rb 6.417 -6.417 6.417
Rb 12.833 0.000 0.000
Rb 19.250 3.208 0.000
Rb 12.833 -6.417 9.625
Rb 9.625 12.833 -6.417
Rb 9.625 0.000 6.417
Rb 6.417 9.625 0.000
Rb 12.833 6.417 3.208
Rb -6.417 6.417 6.417
Rb 0.000 12.833 0.000
Rb 0.000 0.000 12.833
Rb 6.417 6.417 6.417
Rb 0.000 6.417 9.625
Rb 6.417 3.208 12.833
Rb 3.208 12.833 6.417
Rb 3.208 0.000 19.250
Rb 0.000 19.250 3.208
Rb -6.417 9.625 12.833
Ag 6.417 3.208 0.000
Ag 12.833 6.417 -3.208
Ag 3.208 0.000 6.417
Ag 16.042 0.000 6.417
Ag 0.000 6.417 3.208
Ag 6.417 -3.208 12.833
Ag 6.417 16.042 0.000
Ag 12.833 6.417 9.625
Ag -3.208 12.833 6.417
Ag 9.625 12.833 6.417
Ag 0.000 6.417 16.042
Ag 6.417 9.625 12.833
```

Computed properties:
Total DFT energy (no corrections) = -1.0015 eV/atom
DOS(E_F) = 17.2 states/eV/f.u.
ΔH_f (0 K) = 348 kJ/mol of formula units
Space group = Ia-3d, No. 230